1.
DFT (PBE) results for an optimized crystal structure of Zr5Ru.

Values from the calculation:
Total energy: -8.8579 eV per atom
DFT formation energy: -109.1 kJ/mol of formula units
Fermi-level density of states: 7.3 states/eV/cell
SG: C2/m
Crystal system: monoclinic

a b c (Å): 3.325 5.758 7.375
angles (deg): 71.41 90.00 73.22
Fractional positions:
Ru 0.972 0.056 0.944
Zr 0.618 0.764 0.800
Zr 0.304 0.393 0.632
Zr 0.972 0.056 0.444
Zr 0.641 0.718 0.257
Zr 0.326 0.347 0.089

***

2.
DFT (PBE) results for an optimized crystal structure of PrPuCu.

Values from the calculation:
Total energy: -7.4781 eV per atom
DFT formation energy: 74.6 kJ/mol of formula units
Fermi-level density of states: 9.3 states/eV/cell
SG: Cmcm
Crystal system: orthorhombic

a b c (Å): 3.423 3.312 11.657
angles (deg): 81.83 90.00 90.00
Fractional positions:
Cu 0.750 0.464 0.071
Cu 0.250 0.536 0.929
Pu 0.750 0.267 0.466
Pu 0.250 0.733 0.534
Pr 0.750 0.114 0.772
Pr 0.250 0.886 0.228